Entry 1:
A plane-wave DFT calculation with PBE was carried out for a relaxed HfPd2Au2 crystal.

a = 7.3189 Å, b = 7.3189 Å, c = 7.3189 Å
α = 150.46°, β = 150.46°, γ = 42.27°
Closest atoms and distances in Å follow each position.
Fractional coordinates of all 5 atoms:
Hf: 0.0000 0.0000 0.0000  8 Pd 2.94
Pd: 0.4054 0.4054 0.0000  1 Pd 2.58, 4 Au 2.83
Pd: 0.5946 0.5946 0.0000  1 Pd 2.58, 4 Au 2.83
Au: 0.2500 0.7500 0.5000  4 Au 2.64, 4 Pd 2.83
Au: 0.7500 0.2500 0.5000  4 Au 2.64, 4 Pd 2.83

Output
spin magnetization: 0.00 μB per formula unit
crystal system: tetragonal
DOS at the Fermi energy: 3.50 states/eV/cell
formation energy: -0.20 eV per atom
ρ: 13.72 Mg/m³
uncorrected energy: -5.578 eV per atom


Entry 2:
A plane-wave DFT calculation with PBE was carried out for a relaxed NaHgPd3 crystal.

a = 6.2977 Å, b = 6.2977 Å, c = 6.2977 Å
α = 66.86°, β = 66.86°, γ = 66.86°
Closest atoms and distances in Å follow each position.
Fractional coordinates of all 10 atoms:
Na: 0.0000 0.0000 0.0000  1 Hg 2.74, 6 Pd 2.82-2.84
Na: 0.5000 0.5000 0.5000  1 Hg 2.74, 6 Pd 2.82-2.84
Hg: 0.1878 0.1878 0.1878  6 Pd 2.65-2.75, 1 Na 2.74
Hg: 0.6878 0.6878 0.6878  6 Pd 2.65-2.75, 1 Na 2.74
Pd: 0.0634 0.8593 0.5980  2 Hg 2.65-2.75, 2 Pd 2.80, 2 Na 2.82-2.84
Pd: 0.0980 0.3593 0.5634  2 Hg 2.65-2.75, 2 Pd 2.80, 2 Na 2.82-2.84
Pd: 0.3593 0.5634 0.0980  2 Hg 2.65-2.75, 2 Pd 2.80, 2 Na 2.82-2.84
Pd: 0.5634 0.0980 0.3593  2 Hg 2.65-2.75, 2 Pd 2.80, 2 Na 2.82-2.84
Pd: 0.5980 0.0634 0.8593  2 Hg 2.65-2.75, 2 Pd 2.80, 2 Na 2.82-2.84
Pd: 0.8593 0.5980 0.0634  2 Hg 2.65-2.75, 2 Pd 2.80, 2 Na 2.82-2.84

Output
spin magnetization: 0.00 μB per formula unit
crystal system: trigonal
DOS at the Fermi energy: 4.51 states/eV/cell
formation energy: 0.20 eV per atom
ρ: 8.90 Mg/m³
uncorrected energy: -3.239 eV per atom


Entry 3:
A plane-wave DFT calculation with PBE was carried out for a relaxed Sb2PAu crystal.

a = 7.5050 Å, b = 7.5050 Å, c = 7.5050 Å
α = 131.33°, β = 131.33°, γ = 71.29°
Closest atoms and distances in Å follow each position.
Fractional coordinates of all 8 atoms:
Sb: 0.1196 0.6250 0.9946  2 P 2.65, 2 Au 2.69
Sb: 0.3750 0.3696 0.4946  2 P 2.65, 2 Au 2.69
Sb: 0.6304 0.1250 0.0054  2 P 2.65, 2 Au 2.69
Sb: 0.8750 0.8804 0.5054  2 P 2.65, 2 Au 2.69
P: 0.0000 0.0000 0.0000  4 Sb 2.65
P: 0.7500 0.2500 0.5000  4 Sb 2.65
Au: 0.2500 0.7500 0.5000  4 Sb 2.69
Au: 0.5000 0.5000 0.0000  4 Sb 2.69

Output
spin magnetization: 0.00 μB per formula unit
crystal system: tetragonal
DOS at the Fermi energy: 0.79 states/eV/cell
formation energy without anion corrections: 0.102 eV/atom
ρ: 6.71 Mg/m³
uncorrected energy: -4.131 eV per atom


Entry 4:
A plane-wave DFT calculation with PBE was carried out for a relaxed LaPS2F crystal.

a = 4.8840 Å, b = 4.8840 Å, c = 3.9626 Å
α = 90.00°, β = 90.00°, γ = 90.00°
Closest atoms and distances in Å follow each position.
Fractional coordinates of all 5 atoms:
La: 0.0000 0.0000 0.0000  8 S 3.14, 4 P 3.45
P: 0.5000 0.5000 0.0000  2 F 1.98
S: 0.0000 0.5000 0.5000  2 F 2.44
S: 0.5000 0.0000 0.5000  2 F 2.44
F: 0.5000 0.5000 0.5000  2 P 1.98

Output
spin magnetization: 0.00 μB per formula unit
crystal system: tetragonal
DOS at the Fermi energy: 2.21 states/eV/cell
formation energy without anion corrections: -0.687 eV/atom
ρ: 4.44 Mg/m³
uncorrected energy: -4.780 eV per atom


Entry 5:
A plane-wave DFT calculation with PBE was carried out for a relaxed RbPaNi2S4 crystal.

a = 6.2300 Å, b = 6.2300 Å, c = 6.2300 Å
α = 118.86°, β = 118.86°, γ = 91.98°
Closest atoms and distances in Å follow each position.
Fractional coordinates of all 8 atoms:
Rb: 0.0000 0.0000 0.0000  8 S 3.11-3.21
Pa: 0.5000 0.5000 0.0000  4 S 2.59
Ni: 0.2500 0.7500 0.5000  4 S 2.30
Ni: 0.7500 0.2500 0.5000  4 S 2.30
S: 0.0854 0.0854 0.5744  2 Ni 2.30
S: 0.4890 0.9146 0.0000  2 Ni 2.30
S: 0.5110 0.5110 0.4256  2 Ni 2.30
S: 0.9146 0.4890 0.0000  2 Ni 2.30

Output
spin magnetization: 1.15 μB per formula unit
crystal system: tetragonal
DOS at the Fermi energy: 5.15 states/eV/cell
formation energy without anion corrections: -0.746 eV/atom
ρ: 5.37 Mg/m³
uncorrected energy: -5.563 eV per atom


Entry 6:
A plane-wave DFT calculation with PBE was carried out for a relaxed NaSc2Ni2 crystal.

a = 7.5588 Å, b = 7.5588 Å, c = 3.1862 Å
α = 90.00°, β = 90.00°, γ = 90.00°
Closest atoms and distances in Å follow each position.
Fractional coordinates of all 10 atoms:
Na: 0.0000 0.0000 0.0000  4 Ni 2.96, 2 Na 3.19, 8 Sc 3.28
Na: 0.5000 0.5000 0.0000  4 Ni 2.96, 2 Na 3.19, 8 Sc 3.28
Sc: 0.1514 0.3486 0.5000  6 Ni 2.67-2.82
Sc: 0.3486 0.8486 0.5000  6 Ni 2.67-2.82
Sc: 0.6514 0.1514 0.5000  6 Ni 2.67-2.82
Sc: 0.8486 0.6514 0.5000  6 Ni 2.67-2.82
Ni: 0.1311 0.6311 0.0000  6 Sc 2.67-2.82, 1 Ni 2.80, 2 Na 2.96
Ni: 0.3689 0.1311 0.0000  6 Sc 2.67-2.82, 1 Ni 2.80, 2 Na 2.96
Ni: 0.6311 0.8689 0.0000  6 Sc 2.67-2.82, 1 Ni 2.80, 2 Na 2.96
Ni: 0.8689 0.3689 0.0000  6 Sc 2.67-2.82, 1 Ni 2.80, 2 Na 2.96

Output
spin magnetization: 0.00 μB per formula unit
crystal system: tetragonal
DOS at the Fermi energy: 6.13 states/eV/cell
formation energy: -0.18 eV per atom
ρ: 4.20 Mg/m³
uncorrected energy: -5.292 eV per atom


Entry 7:
A plane-wave DFT calculation with PBE was carried out for a relaxed CaSb crystal.

a = 9.3483 Å, b = 9.3483 Å, c = 9.3483 Å
α = 152.34°, β = 151.40°, γ = 40.21°
Closest atoms and distances in Å follow each position.
Fractional coordinates of all 6 atoms:
Ca: 0.0000 0.0000 0.0000  8 Sb 3.21-3.36
Ca: 0.3266 0.8266 0.5000  5 Sb 3.23-3.26
Ca: 0.6734 0.1734 0.5000  5 Sb 3.23-3.26
Sb: 0.1428 0.6428 0.5000  7 Ca 3.23-3.36, 2 Sb 3.41
Sb: 0.5000 0.5000 0.0000  4 Ca 3.21, 4 Sb 3.41
Sb: 0.8572 0.3572 0.5000  7 Ca 3.23-3.36, 2 Sb 3.41

Output
spin magnetization: 0.00 μB per formula unit
crystal system: orthorhombic
DOS at the Fermi energy: 3.87 states/eV/cell
formation energy without anion corrections: -0.825 eV/atom
ρ: 4.45 Mg/m³
uncorrected energy: -3.887 eV per atom


Entry 8:
A plane-wave DFT calculation with PBE was carried out for a relaxed RbCeCu2S4 crystal.

a = 6.3193 Å, b = 6.3193 Å, c = 6.3193 Å
α = 117.31°, β = 117.31°, γ = 94.73°
Closest atoms and distances in Å follow each position.
Fractional coordinates of all 8 atoms:
Rb: 0.0000 0.0000 0.0000  8 S 3.18-3.22
Ce: 0.5000 0.5000 0.0000  4 S 2.67
Cu: 0.2500 0.7500 0.5000  4 S 2.38
Cu: 0.7500 0.2500 0.5000  4 S 2.38
S: 0.0781 0.0781 0.5682  2 Cu 2.38
S: 0.4901 0.9219 0.0000  2 Cu 2.38
S: 0.5099 0.5099 0.4318  2 Cu 2.38
S: 0.9219 0.4901 0.0000  2 Cu 2.38

Output
spin magnetization: 0.00 μB per formula unit
crystal system: tetragonal
DOS at the Fermi energy: 4.16 states/eV/cell
formation energy without anion corrections: -0.797 eV/atom
ρ: 4.32 Mg/m³
uncorrected energy: -4.747 eV per atom